Record 1
! SrTl2Au | Alexandria | GGA-PBEsol | relaxed; values from VASP
! Total magnetization, μB/atom: 0.00
&SYSTEM
  ibrav = 0, nat = 4, ntyp = 3
/
ATOMIC_SPECIES
Sr 87.62 Sr.upf
Tl 204.38 Tl.upf
Au 196.97 Au.upf
ATOMIC_POSITIONS crystal
Sr 0.0000 0.0000 0.0000
Tl 0.2500 0.7500 0.5000
Tl 0.5000 0.5000 0.0000
Au 0.7500 0.2500 0.5000
CELL_PARAMETERS angstrom
-2.5985 2.5985 3.7911
2.5985 -2.5985 3.7911
2.5985 2.5985 -3.7911

Record 2
! YCu2Au | Alexandria | GGA-PBEsol | relaxed; values from VASP
! Total magnetization, μB/atom: 0.00
! Energy above the lowest structure with this stoichiometry, eV/atom: 0.106
&SYSTEM
  ibrav = 0, nat = 4, ntyp = 3
/
ATOMIC_SPECIES
Y 88.91 Y.upf
Cu 63.55 Cu.upf
Au 196.97 Au.upf
ATOMIC_POSITIONS crystal
Y 0.0000 0.0000 0.0000
Cu 0.5000 0.5000 0.2447
Cu 0.5000 0.5000 0.7553
Au 0.5000 0.0000 0.5000
CELL_PARAMETERS angstrom
3.3704 0.0000 0.0000
0.0000 4.4297 0.0000
0.0000 0.0000 4.9254

Record 3
! La4Tc | Alexandria | GGA-PBEsol | relaxed; values from VASP
! Total magnetization, μB/atom: 0.00
&SYSTEM
  ibrav = 0, nat = 5, ntyp = 2
/
ATOMIC_SPECIES
La 138.91 La.upf
Tc 98.00 Tc.upf
ATOMIC_POSITIONS crystal
La 0.0761 0.7419 0.8180
La 0.2581 0.0761 0.3341
La 0.7419 0.9239 0.6659
La 0.9239 0.2581 0.1820
Tc 0.5000 0.5000 0.0000
CELL_PARAMETERS angstrom
-4.5003 4.5003 1.7988
4.5003 -4.5003 1.7988
4.5003 4.5003 -1.7988

| no. | ΔE_f (eV per atom) |
| --- | --- |
| 1 | -0.3339 |
| 2 | -0.2181 |
| 3 | 0.0767 |